(1)
{
  "formula": "LaSi",
  "functional": "PBE",
  "state": "optimized geometry",
  "lattice_angstrom": [[8.146, 0.026, 0.016], [7.101, 3.993, 0.016], [7.101, 1.872, 3.527]],
  "species": ["La", "La", "Si", "Si"],
  "frac_coords": [[0.962, 0.962, 0.962], [0.788, 0.788, 0.788], [0.542, 0.542, 0.542], [0.208, 0.208, 0.208]],
  "sg": "R-3m (166)",
  "formation_energy_uncorrected_ev_per_atom": -0.519
}

---

(2)
{
  "formula": "SmErS2O",
  "functional": "PBE",
  "state": "optimized geometry",
  "lattice_angstrom": [[-3.036, 2.298, -0.835], [-2.241, -3.147, -0.516], [-3.482, 0.279, 13.428]],
  "species": ["Sm", "Sm", "Er", "Er", "S", "S", "S", "S", "O", "O"],
  "frac_coords": [[0.500, 0.000, 0.587], [0.000, 0.500, 0.413], [0.500, 0.000, 0.122], [0.000, 0.500, 0.878], [0.000, 0.500, 0.700], [0.000, 0.500, 0.090], [0.500, 0.000, 0.910], [0.500, 0.000, 0.300], [0.000, 0.000, 0.500], [0.500, 0.500, 0.500]],
  "sg": "P4/nmm (129)",
  "formation_energy_uncorrected_ev_per_atom": -2.510
}

---

(3)
{
  "formula": "PaTlN2",
  "functional": "PBE",
  "state": "optimized geometry",
  "lattice_angstrom": [[-2.956, 1.314, -1.606], [-1.958, -2.109, -2.182], [-5.299, -2.200, 3.890]],
  "species": ["Tl", "Pa", "N", "N"],
  "frac_coords": [[0.500, 0.500, 0.500], [0.000, 0.000, 0.000], [0.283, 0.283, 0.150], [0.717, 0.717, 0.850]],
  "sg": "R-3m (166)",
  "formation_energy_uncorrected_ev_per_atom": -0.917,
  "de_polymorph_mev_per_atom": 3
}

---

(4)
{
  "formula": "Tb4Pr10Tm",
  "functional": "PBE",
  "state": "optimized geometry",
  "lattice_angstrom": [[1.320, 6.288, 4.557], [5.657, -1.763, 7.602], [7.748, 5.143, -2.533]],
  "species": ["Tb", "Tb", "Tb", "Tb", "Pr", "Pr", "Pr", "Pr", "Pr", "Pr", "Pr", "Pr", "Pr", "Pr", "Tm"],
  "frac_coords": [[0.399, 0.801, 0.400], [0.799, 0.600, 0.801], [0.201, 0.400, 0.199], [0.601, 0.199, 0.600], [0.250, 0.500, 0.500], [0.652, 0.299, 0.900], [0.050, 0.100, 0.299], [0.449, 0.900, 0.701], [0.850, 0.701, 0.100], [0.348, 0.701, 0.100], [0.750, 0.500, 0.500], [0.150, 0.299, 0.900], [0.551, 0.100, 0.299], [0.950, 0.900, 0.701], [0.000, 0.000, 0.000]],
  "sg": "I4/m (87)",
  "e_form_ev_per_atom": 0.68
}

---

(5)
{
  "formula": "RbAlRh3",
  "functional": "PBE",
  "state": "optimized geometry",
  "lattice_angstrom": [[4.711, 0.000, 0.000], [0.000, 4.711, 0.000], [0.000, 0.000, 4.711]],
  "species": ["Rh", "Rh", "Rh", "Al", "Rb"],
  "frac_coords": [[0.000, 0.500, 0.000], [0.000, 0.000, 0.500], [0.500, 0.000, 0.000], [0.000, 0.000, 0.000], [0.500, 0.500, 0.500]],
  "sg": "Pm-3m (221)",
  "e_form_ev_per_atom": 0.59,
  "de_polymorph_mev_per_atom": 0
}

---

(6)
{
  "formula": "TlSbPb5",
  "functional": "PBE",
  "state": "optimized geometry",
  "lattice_angstrom": [[6.825, -0.002, -1.421], [-2.123, 8.273, -1.675], [0.018, -1.202, 8.621]],
  "species": ["Tl", "Tl", "Sb", "Sb", "Pb", "Pb", "Pb", "Pb", "Pb", "Pb", "Pb", "Pb", "Pb", "Pb"],
  "frac_coords": [[0.000, 0.000, 0.000], [0.500, 0.000, 0.000], [0.750, 0.624, 0.376], [0.250, 0.376, 0.624], [0.647, 0.942, 0.638], [0.356, 0.361, 0.056], [0.147, 0.638, 0.942], [0.750, 0.406, 0.594], [0.144, 0.944, 0.639], [0.856, 0.056, 0.361], [0.250, 0.594, 0.406], [0.853, 0.362, 0.058], [0.644, 0.639, 0.944], [0.353, 0.058, 0.362]],
  "sg": "C2/c (15)",
  "formation_energy_uncorrected_ev_per_atom": 0.084
}